[1]
KTmF5 after structural relaxation. Source: Alexandria, functional PBE.

Lattice parameters (Å, degrees): 4.2691 6.2204 8.8912 88.33 76.11 83.04
Positions (direct):
F  0.8147  0.9111  0.3637
F  0.8216  0.5889  0.3637
F  0.4116  0.7500  0.1769
F  0.1853  0.0889  0.6363
F  0.7667  0.0978  0.0936
F  0.2333  0.9022  0.9064
F  0.8602  0.5978  0.9064
F  0.1398  0.4022  0.0936
F  0.1784  0.4111  0.6363
F  0.5884  0.2500  0.8231
Tm  0.9426  0.7500  0.1147
Tm  0.0574  0.2500  0.8853
K  0.6690  0.7500  0.6620
K  0.3310  0.2500  0.3380

Formation energy from raw total energies = -3.177 eV/atom


[2]
ZnNiAg3 after structural relaxation. Source: Alexandria, functional PBE.

Lattice parameters (Å, degrees): 4.7610 4.7610 4.7610 90.00 90.00 90.00
Positions (direct):
Zn  0.0000  0.0000  0.0000
Ni  0.5000  0.5000  0.5000
Ag  0.0000  0.5000  0.0000
Ag  0.0000  0.0000  0.5000
Ag  0.5000  0.0000  0.0000

Formation energy from the elements = 900.9 meV per atom
D(E_F) = 0.52 states/eV per atom


[3]
Nd8CoAu2 after structural relaxation. Source: Alexandria, functional PBE.

Lattice parameters (Å, degrees): 6.2618 8.0471 8.0471 110.04 104.48 104.48
Positions (direct):
Nd  0.7727  0.6416  0.6416
Nd  0.6196  0.1066  0.3646
Nd  0.9577  0.1454  0.8627
Nd  0.9577  0.8627  0.1454
Nd  0.3049  0.6270  0.9015
Nd  0.2032  0.3737  0.3737
Nd  0.6196  0.3646  0.1066
Nd  0.3049  0.9015  0.6270
Au  0.5069  0.3182  0.7108
Au  0.5069  0.7108  0.3182
Co  0.2454  0.9819  0.9819

Formation energy from the elements = -181.3 meV per atom
D(E_F) = 1.36 states/eV per atom


[4]
Zn2CdRe after structural relaxation. Source: Alexandria, functional PBE.

Lattice parameters (Å, degrees): 2.7872 2.7872 8.4462 90.00 90.00 90.00
Positions (direct):
Zn  0.0000  0.0000  0.9749
Zn  0.0000  0.0000  0.5251
Re  0.5000  0.5000  0.7500
Cd  0.5000  0.5000  0.2500

Formation energy from the elements = 318.9 meV per atom
D(E_F) = 0.88 states/eV per atom


[5]
Th2HRh after structural relaxation. Source: Alexandria, functional PBE.

Lattice parameters (Å, degrees): 3.9140 3.9140 7.1114 74.03 74.03 60.00
Positions (direct):
Rh  0.6670  0.6670  0.9991
Th  0.0864  0.0864  0.7407
Th  0.2516  0.2516  0.2452
H  0.4950  0.4950  0.5150

Total energy = -6.77 eV per atom
D(E_F) = 0.68 states/eV per atom


[6]
Li2CdHPt after structural relaxation. Source: Alexandria, functional PBE.

Lattice parameters (Å, degrees): 4.1217 4.1217 3.7932 90.00 90.00 90.00
Positions (direct):
Pt  0.0000  0.0000  0.5000
Li  0.5000  0.0000  0.0000
Li  0.0000  0.5000  0.0000
Cd  0.5000  0.5000  0.5000
H  0.0000  0.0000  0.0000

Total energy = -3.25 eV per atom
D(E_F) = 0.19 states/eV per atom


[7]
InIr2Rh after structural relaxation. Source: Alexandria, functional PBE.

Lattice parameters (Å, degrees): 3.8535 3.8535 9.7787 78.64 78.64 90.00
Positions (direct):
In  0.0000  0.0000  0.0000
In  0.7500  0.2500  0.5000
Rh  0.2500  0.7500  0.5000
Rh  0.5000  0.5000  0.0000
Ir  0.5872  0.1250  0.2500
Ir  0.8750  0.8372  0.7500
Ir  0.1628  0.6250  0.2500
Ir  0.3750  0.4128  0.7500

Formation energy from the elements = 391.7 meV per atom
D(E_F) = 1.05 states/eV per atom


[8]
Ho6IrSe5 after structural relaxation. Source: Alexandria, functional PBE.

Lattice parameters (Å, degrees): 7.1182 7.1182 7.0791 99.69 99.69 119.99
Positions (direct):
Se  0.6651  0.3349  0.0000
Se  0.3349  0.6651  0.0000
Se  0.5000  0.5000  0.5000
Se  0.8234  0.1766  0.5000
Se  0.1766  0.8234  0.5000
Ho  0.2321  0.2321  0.7612
Ho  0.3894  0.0765  0.2341
Ho  0.9235  0.6106  0.7659
Ho  0.6106  0.9235  0.7659
Ho  0.7679  0.7679  0.2388
Ho  0.0765  0.3894  0.2341
Ir  0.0000  0.0000  0.0000

Formation energy from raw total energies = -1.622 eV/atom
D(E_F) = 0.67 states/eV per atom


[9]
HoUGa2O8 after structural relaxation. Source: Alexandria, functional PBE.

Lattice parameters (Å, degrees): 5.9170 5.9170 5.9170 108.72 108.72 110.98
Positions (direct):
O  0.4944  0.6903  0.8041
O  0.3675  0.0474  0.3201
O  0.3097  0.5056  0.1959
O  0.9526  0.2727  0.3201
O  0.7273  0.0474  0.6799
O  0.8862  0.6903  0.1959
O  0.3097  0.1138  0.8041
O  0.9526  0.6325  0.6799
Ho  0.0000  0.0000  0.0000
U  0.2500  0.7500  0.5000
Ga  0.5000  0.5000  0.0000
Ga  0.7500  0.2500  0.5000

Formation energy from raw total energies = -2.391 eV/atom
D(E_F) = 0.81 states/eV per atom


[10]
Ag3OsO4 after structural relaxation. Source: Alexandria, functional PBE.

Lattice parameters (Å, degrees): 4.7892 8.6174 5.5899 90.00 90.00 90.00
Positions (direct):
Ag  0.5095  0.4093  0.2465
Ag  0.0143  0.3074  0.5000
Ag  0.0095  0.5907  0.2535
Ag  0.5095  0.4093  0.7535
Ag  0.0095  0.5907  0.7465
Ag  0.5143  0.6926  0.0000
O  0.6502  0.9179  0.7505
O  0.1502  0.0821  0.7495
O  0.1502  0.0821  0.2505
O  0.6502  0.9179  0.2495
O  0.7053  0.1856  0.0000
O  0.5698  0.1850  0.5000
O  0.2053  0.8144  0.5000
O  0.0698  0.8150  0.0000
Os  0.9065  0.0098  0.0000
Os  0.4065  0.9902  0.5000

Formation energy from raw total energies = -0.444 eV/atom
D(E_F) = 0.39 states/eV per atom


[11]
Pr2CuTc after structural relaxation. Source: Alexandria, functional PBE.

Lattice parameters (Å, degrees): 3.2797 3.2797 10.3951 80.92 80.92 60.00
Positions (direct):
Pr  0.0885  0.0885  0.7346
Pr  0.9115  0.9115  0.2654
Cu  0.5000  0.5000  0.5000
Tc  0.0000  0.0000  0.0000

Formation energy from the elements = 779.2 meV per atom
D(E_F) = 0.97 states/eV per atom


[12]
Tc2Ni after structural relaxation. Source: Alexandria, functional PBE.

Lattice parameters (Å, degrees): 7.1478 7.1478 2.7146 90.00 90.00 120.00
Positions (direct):
Tc  0.3004  0.0000  0.0000
Tc  0.3654  0.3654  0.5000
Tc  0.6996  0.6996  0.0000
Tc  0.6346  0.0000  0.5000
Tc  0.0000  0.3004  0.0000
Tc  0.0000  0.6346  0.5000
Ni  0.0000  0.0000  0.5000
Ni  0.3333  0.6667  0.0000
Ni  0.6667  0.3333  0.0000

Formation energy from the elements = 25.5 meV per atom
D(E_F) = 1.19 states/eV per atom


[13]
TiNiN2 after structural relaxation. Source: Alexandria, functional PBE.

Lattice parameters (Å, degrees): 3.6665 3.6665 3.6665 60.00 60.00 60.00
Positions (direct):
N  0.7500  0.7500  0.7500
N  0.2500  0.2500  0.2500
Ti  0.0000  0.0000  0.0000
Ni  0.5000  0.5000  0.5000

Formation energy from raw total energies = 0.039 eV/atom
D(E_F) = 0.97 states/eV per atom


[14]
AlCo2As after structural relaxation. Source: Alexandria, functional PBE.

Lattice parameters (Å, degrees): 7.8618 7.8618 7.8618 21.08 21.08 21.08
Positions (direct):
Co  0.9988  0.9988  0.9988
Co  0.2518  0.2518  0.2518
As  0.7427  0.7427  0.7427
Al  0.5066  0.5066  0.5066

Formation energy from the elements = 109.2 meV per atom
D(E_F) = 1.05 states/eV per atom


[15]
CaCd2Br after structural relaxation. Source: Alexandria, functional PBE.

Lattice parameters (Å, degrees): 6.1990 6.1990 6.1990 142.39 124.24 69.22
Positions (direct):
Br  0.4701  0.4701  0.0000
Cd  0.7620  0.2620  0.5000
Cd  0.0022  0.0022  0.0000
Ca  0.2657  0.7657  0.5000

Formation energy from raw total energies = -0.522 eV/atom
D(E_F) = 0.47 states/eV per atom


[16]
LiHo3Pd12 after structural relaxation. Source: Alexandria, functional PBE.

Lattice parameters (Å, degrees): 4.0905 4.0905 16.0318 90.00 90.00 90.00
Positions (direct):
Ho  0.0000  0.0000  0.2426
Ho  0.0000  0.0000  0.5000
Ho  0.0000  0.0000  0.7574
Pd  0.0000  0.5000  0.8856
Pd  0.5000  0.0000  0.6289
Pd  0.5000  0.0000  0.1144
Pd  0.5000  0.5000  0.5000
Pd  0.5000  0.0000  0.8856
Pd  0.5000  0.5000  0.0000
Pd  0.5000  0.5000  0.7584
Pd  0.5000  0.5000  0.2416
Pd  0.0000  0.5000  0.3711
Pd  0.5000  0.0000  0.3711
Pd  0.0000  0.5000  0.6289
Pd  0.0000  0.5000  0.1144
Li  0.0000  0.0000  0.0000

Formation energy from the elements = -719.7 meV per atom
D(E_F) = 0.90 states/eV per atom


[17]
ZnSb2Au3 after structural relaxation. Source: Alexandria, functional PBE.

Lattice parameters (Å, degrees): 4.0198 4.0198 8.8379 103.10 103.11 90.17
Positions (direct):
Au  0.5939  0.5958  0.1922
Au  0.2756  0.2776  0.5557
Au  0.9334  0.9340  0.8740
Sb  0.0984  0.1004  0.2013
Sb  0.7711  0.7732  0.5467
Zn  0.4329  0.4331  0.8740

Formation energy from raw total energies = -0.032 eV/atom
D(E_F) = 0.38 states/eV per atom


[18]
CrPbS2 after structural relaxation. Source: Alexandria, functional PBE.

Lattice parameters (Å, degrees): 8.6090 8.6090 8.6090 23.23 23.23 23.23
Positions (direct):
S  0.1154  0.1154  0.1154
S  0.8846  0.8846  0.8846
Cr  0.5000  0.5000  0.5000
Pb  0.0000  0.0000  0.0000

Formation energy from raw total energies = -0.550 eV/atom
D(E_F) = 0.66 states/eV per atom


[19]
ZnNiPt after structural relaxation. Source: Alexandria, functional PBE.

Lattice parameters (Å, degrees): 4.2392 4.2392 5.1817 90.00 90.00 120.00
Positions (direct):
Ni  0.0000  0.0000  0.5000
Ni  0.0000  0.0000  0.0000
Pt  0.6667  0.3333  0.8312
Pt  0.3333  0.6667  0.1688
Zn  0.6667  0.3333  0.3351
Zn  0.3333  0.6667  0.6649

Formation energy from the elements = -298.9 meV per atom
D(E_F) = 0.67 states/eV per atom


[20]
SrTl3Bi2Te6 after structural relaxation. Source: Alexandria, functional PBE.

Lattice parameters (Å, degrees): 8.0329 8.0329 8.2374 99.46 99.46 119.88
Positions (direct):
Tl  0.1605  0.8395  0.5000
Tl  0.8395  0.1605  0.5000
Tl  0.5000  0.5000  0.5000
Te  0.9204  0.5730  0.7661
Te  0.0796  0.4270  0.2339
Te  0.5730  0.9204  0.7661
Te  0.7279  0.7279  0.2270
Te  0.4270  0.0796  0.2339
Te  0.2721  0.2721  0.7730
Bi  0.3310  0.6690  0.0000
Bi  0.6690  0.3310  0.0000
Sr  0.0000  0.0000  0.0000

Formation energy from raw total energies = -0.495 eV/atom
D(E_F) = 0.63 states/eV per atom